Entry 1:
Below is a relaxed ZrTaCu2 crystal, with properties calculated at the PBE-GGA level.

Lattice parameters (Å, degrees): 6.464 6.464 6.464 90.00 90.00 90.00
Space group F-43m (No. 216)
Unique sites:
Zr 0.000 0.000 0.000 (multiplicity 4)
Ta 0.250 0.250 0.750 (multiplicity 4)
Cu 0.000 0.000 0.500 (multiplicity 4)
Cu 0.250 0.250 0.250 (multiplicity 4)

Properties
formation enthalpy at 0 K	439	meV/atom
M_tot	2.90	μB per formula unit


Entry 2:
Below is a relaxed Pm5Pr6Dy crystal, with properties calculated at the PBE-GGA level.

Lattice parameters (Å, degrees): 6.375 11.043 12.139 90.00 100.11 90.00
Space group C2/m (No. 12)
Unique sites:
Pm 0.000 0.000 0.000 (multiplicity 2)
Pm 0.000 0.167 0.500 (multiplicity 4)
Pm 0.000 0.334 0.000 (multiplicity 4)
Pr 0.249 0.334 0.749 (multiplicity 8)
Pr 0.250 0.000 0.749 (multiplicity 4)
Dy 0.000 0.500 0.500 (multiplicity 2)

Properties
formation enthalpy at 0 K	12	meV/atom
M_tot	0.00	μB per formula unit


Entry 3:
Below is a relaxed CsSr2BiS4 crystal, with properties calculated at the PBE-GGA level.

Lattice parameters (Å, degrees): 8.658 8.877 12.331 90.00 90.00 90.00
Space group Imma (No. 74)
Unique sites:
Cs 0.250 0.250 0.250 (multiplicity 4)
Sr 0.000 0.000 0.000 (multiplicity 4)
Sr 0.250 0.250 0.750 (multiplicity 4)
Bi 0.000 0.000 0.500 (multiplicity 4)
S 0.000 0.027 0.735 (multiplicity 8)
S 0.240 0.250 0.511 (multiplicity 8)

Properties
M_tot	0.00	μB per formula unit
formation energy from raw total energies	-1.280	eV/atom


Look up the M_tot of the third one. 0.00 μB per formula unit


What is the formula in the second record? Pm5Pr6Dy